VASP calculation (PBE) on a relaxed Sm3YHg7 crystal.

Calculated values
As for the symmetry: Cmcm, No. 63. The total magnetization is 0.000 μB/atom. The density of states at the Fermi level comes out at 18.026 states/eV per cell. The calculated volume is 598.1 Å³ per cell. As for the energy relative to the elements: -0.3167 eV/atom.

a = 3.562 Å, b = 10.842 Å, c = 15.701 Å
α = 90.00°, β = 90.00°, γ = 99.45°
Positions (direct):
1 Hg 0.746 0.493 0.920
2 Hg 0.385 0.770 0.750
3 Hg 0.506 0.013 0.091
4 Hg 0.254 0.507 0.080
5 Hg 0.494 0.987 0.591
6 Y 0.015 0.030 0.750
7 Sm 0.117 0.233 0.015
8 Hg 0.378 0.755 0.343
9 Hg 0.378 0.755 0.157
10 Hg 0.615 0.230 0.250
11 Hg 0.506 0.013 0.409
12 Sm 0.117 0.233 0.485
13 Hg 0.746 0.493 0.580
14 Sm 0.883 0.767 0.985
15 Sm 0.236 0.471 0.750
16 Hg 0.622 0.245 0.843
17 Sm 0.764 0.529 0.250
18 Y 0.985 0.970 0.250
19 Hg 0.494 0.987 0.909
20 Hg 0.254 0.507 0.420
21 Hg 0.622 0.245 0.657
22 Sm 0.883 0.767 0.515